No. 1
Density functional theory data (PBE) for a relaxed structure of Ni2Pd5Pt2.

a = 3.893 Å, b = 4.751 Å, c = 9.887 Å
α = 124.01°, β = 90.00°, γ = 114.19°
Element x y z (fractional)
Ni1 0.443 0.885 0.776
Ni2 0.557 0.115 0.224
Pd1 0.776 0.553 0.110
Pd2 0.224 0.447 0.890
Pd3 0.888 0.776 0.557
Pd4 0.112 0.224 0.443
Pd5 0.000 0.000 0.000
Pt1 0.670 0.339 0.671
Pt2 0.330 0.661 0.329

Computed properties:
M_tot = 0.444 μB/atom
Symmetry = No. 12
E_form = 0.0 kcal/mol of atoms
Crystal system = monoclinic

No. 2
Density functional theory data (PBE) for a relaxed structure of BMoC3.

a = 3.440 Å, b = 3.440 Å, c = 3.440 Å
α = 90.00°, β = 90.00°, γ = 90.00°
Element x y z (fractional)
Mo1 0.500 0.500 0.500
B1 0.000 0.000 0.000
C1 0.000 0.500 0.000
C2 0.000 0.000 0.500
C3 0.500 0.000 0.000

Computed properties:
M_tot = 0.000 μB/atom
Symmetry = No. 221
E_form = 47.4 kcal/mol of atoms
Crystal system = cubic
Offset from the most stable computed form = 0 meV per atom

No. 3
Density functional theory data (PBE) for a relaxed structure of MnBeReRu.

a = 4.121 Å, b = 4.121 Å, c = 4.121 Å
α = 60.00°, β = 60.00°, γ = 60.00°
Element x y z (fractional)
Re1 0.750 0.750 0.750
Mn1 0.500 0.500 0.500
Be1 0.250 0.250 0.250
Ru1 0.000 0.000 0.000

Computed properties:
M_tot = 0.000 μB/atom
Symmetry = No. 216
E_form = -0.2 kcal/mol of atoms
Crystal system = cubic

No. 4
Density functional theory data (PBE) for a relaxed structure of KSr2Tl2.

a = 9.709 Å, b = 9.709 Å, c = 4.182 Å
α = 90.00°, β = 90.00°, γ = 90.00°
Element x y z (fractional)
Sr1 0.164 0.664 0.500
Sr2 0.664 0.836 0.500
Sr3 0.836 0.336 0.500
Sr4 0.336 0.164 0.500
Tl1 0.371 0.871 0.000
Tl2 0.871 0.629 0.000
Tl3 0.629 0.129 0.000
Tl4 0.129 0.371 0.000
K1 0.000 0.000 0.000
K2 0.500 0.500 0.000

Computed properties:
M_tot = 0.000 μB/atom
Symmetry = No. 127
E_form = -5.9 kcal/mol of atoms
Crystal system = tetragonal
Offset from the most stable computed form = 0 meV per atom

No. 5
Density functional theory data (PBE) for a relaxed structure of BeCdCl2.

a = 6.436 Å, b = 6.436 Å, c = 6.436 Å
α = 152.78°, β = 122.55°, γ = 64.71°
Element x y z (fractional)
Be1 0.750 0.250 0.500
Cl1 0.885 0.885 0.000
Cl2 0.615 0.615 0.000
Cd1 0.250 0.750 0.500

Computed properties:
M_tot = 0.000 μB/atom
Symmetry = No. 71
Raw formation energy = -2.65 eV per formula unit
Crystal system = orthorhombic
Offset from the most stable computed form = 242 meV per atom

No. 6
Density functional theory data (PBE) for a relaxed structure of PaBeGa2Ni4.

a = 3.993 Å, b = 3.993 Å, c = 8.233 Å
α = 75.97°, β = 75.97°, γ = 60.00°
Element x y z (fractional)
Pa1 0.000 0.000 0.000
Be1 0.500 0.500 0.500
Ga1 0.762 0.762 0.713
Ga2 0.238 0.238 0.287
Ni1 0.403 0.403 0.791
Ni2 0.866 0.866 0.403
Ni3 0.134 0.134 0.597
Ni4 0.597 0.597 0.209

Computed properties:
M_tot = 0.000 μB/atom
Symmetry = No. 166
E_form = -9.3 kcal/mol of atoms
Crystal system = trigonal

No. 7
Density functional theory data (PBE) for a relaxed structure of LiH3Pd.

a = 5.788 Å, b = 3.553 Å, c = 4.583 Å
α = 90.01°, β = 68.53°, γ = 89.99°
Element x y z (fractional)
H1 0.155 0.923 0.291
H2 0.414 0.423 0.903
H3 0.696 0.924 0.998
H4 0.437 0.423 0.386
H5 0.925 0.423 0.645
H6 0.925 0.423 0.145
Pd1 0.684 0.423 0.009
Pd2 0.167 0.423 0.281
Li1 0.743 0.924 0.478
Li2 0.108 0.923 0.812

Computed properties:
M_tot = 0.000 μB/atom
Symmetry = No. 10
Crystal system = monoclinic
Electronic total energy = -3.68 eV per atom

No. 8
Density functional theory data (PBE) for a relaxed structure of CaAsHPd2.

a = 4.114 Å, b = 4.114 Å, c = 4.474 Å
α = 90.00°, β = 90.00°, γ = 90.00°
Element x y z (fractional)
H1 0.000 0.000 0.000
As1 0.500 0.500 0.500
Ca1 0.000 0.000 0.500
Pd1 0.000 0.500 0.000
Pd2 0.500 0.000 0.000

Computed properties:
M_tot = 0.000 μB/atom
Symmetry = No. 123
Crystal system = tetragonal
Offset from the most stable computed form = 280 meV per atom

No. 9
Density functional theory data (PBE) for a relaxed structure of Hg3AsCl4.

a = 7.105 Å, b = 7.217 Å, c = 11.827 Å
α = 110.41°, β = 90.00°, γ = 119.49°
Element x y z (fractional)
As1 0.676 0.006 0.725
As2 0.330 0.006 0.225
Hg1 0.651 0.304 0.912
Hg2 0.653 0.304 0.412
Hg3 0.304 0.646 0.604
Hg4 0.342 0.646 0.104
Hg5 0.866 0.819 0.783
Hg6 0.953 0.819 0.283
Cl1 0.256 0.246 0.984
Cl2 0.991 0.246 0.484
Cl3 0.523 0.351 0.626
Cl4 0.829 0.351 0.126
Cl5 0.112 0.678 0.817
Cl6 0.566 0.678 0.317
Cl7 0.992 0.729 0.499
Cl8 0.737 0.729 0.999

Computed properties:
M_tot = 0.125 μB/atom
Symmetry = No. 9
Raw formation energy = -2.76 eV per formula unit
Crystal system = monoclinic

No. 10
Density functional theory data (PBE) for a relaxed structure of KDyCdBr6.

a = 7.281 Å, b = 7.281 Å, c = 14.612 Å
α = 90.00°, β = 90.00°, γ = 120.00°
Element x y z (fractional)
K1 0.000 0.000 0.000
K2 0.000 0.000 0.500
Dy1 0.667 0.333 0.250
Dy2 0.333 0.667 0.750
Cd1 0.333 0.667 0.250
Cd2 0.667 0.333 0.750
Br1 0.629 0.629 0.139
Br2 0.999 0.371 0.139
Br3 0.371 0.999 0.639
Br4 0.001 0.629 0.861
Br5 0.371 0.371 0.361
Br6 0.999 0.629 0.361
Br7 0.629 0.999 0.861
Br8 0.629 0.001 0.361
Br9 0.001 0.371 0.639
Br10 0.371 0.001 0.139
Br11 0.629 0.629 0.639
Br12 0.371 0.371 0.861

Computed properties:
M_tot = 0.000 μB/atom
Symmetry = No. 163
Raw formation energy = -13.67 eV per formula unit
Crystal system = trigonal

No. 11
Density functional theory data (PBE) for a relaxed structure of Sn6PdPtAu2.

a = 7.261 Å, b = 6.621 Å, c = 9.651 Å
α = 90.00°, β = 89.48°, γ = 90.00°
Element x y z (fractional)
Sn1 0.325 0.658 0.086
Sn2 0.825 0.842 0.586
Sn3 0.675 0.342 0.914
Sn4 0.175 0.158 0.414
Sn5 0.343 0.645 0.420
Sn6 0.843 0.855 0.920
Sn7 0.657 0.355 0.580
Sn8 0.157 0.145 0.080
Sn9 0.837 0.449 0.250
Sn10 0.337 0.051 0.750
Sn11 0.163 0.551 0.750
Sn12 0.663 0.949 0.250
Pd1 0.500 0.000 0.000
Pd2 0.000 0.500 0.500
Pt1 0.500 0.000 0.500
Pt2 0.000 0.500 0.000
Au1 0.027 0.825 0.269
Au2 0.527 0.675 0.769
Au3 0.973 0.175 0.731
Au4 0.473 0.325 0.231

Computed properties:
M_tot = 0.000 μB/atom
Symmetry = No. 14
E_form = -6.5 kcal/mol of atoms
Crystal system = monoclinic

No. 12
Density functional theory data (PBE) for a relaxed structure of Ag5TePO4.

a = 7.097 Å, b = 7.097 Å, c = 7.437 Å
α = 90.00°, β = 90.00°, γ = 90.00°
Element x y z (fractional)
Ag1 0.778 0.722 0.200
Ag2 0.222 0.722 0.200
Ag3 0.778 0.278 0.200
Ag4 0.222 0.278 0.200
Ag5 0.722 0.778 0.800
Ag6 0.278 0.778 0.800
Ag7 0.722 0.222 0.800
Ag8 0.278 0.222 0.800
Ag9 0.000 0.500 0.464
Ag10 0.500 0.000 0.536
Te1 0.000 0.500 0.990
Te2 0.500 0.000 0.010
P1 0.500 0.500 0.500
P2 0.000 0.000 0.500
O1 0.500 0.318 0.380
O2 0.500 0.682 0.380
O3 0.818 0.000 0.380
O4 0.182 0.000 0.380
O5 0.000 0.182 0.620
O6 0.000 0.818 0.620
O7 0.682 0.500 0.620
O8 0.318 0.500 0.620

Computed properties:
M_tot = 0.000 μB/atom
Symmetry = No. 129
Raw formation energy = -9.31 eV per formula unit
Crystal system = tetragonal